[1]
Density functional theory data (PBE) for a relaxed structure of SbSeCl.

The value obtained for the theoretical density is 4.84 g/cm³. The energy relative to the elements, uncorrected is -0.303 eV/atom. The volume is 81.1 Å³/f.u.

The structure belongs to space group F-43m (No. 216); the cell edges are 6.8703, 6.8703 and 6.8703 Å and the angles 90.00°, 90.00° and 90.00°. The asymmetric unit holds Sb at (0.0000, 0.0000, 0.0000), Se at (0.2500, 0.2500, 0.2500) and Cl at (0.2500, 0.2500, 0.7500).

=====

[2]
Density functional theory data (PBE) for a relaxed structure of PmHo3Th3.

The value obtained for the theoretical density is 9.75 g/cm³. Its energy of formation from the pure elements is 66 meV per atom. The volume is 227.6 Å³/f.u.

The structure belongs to space group P6_3/m (No. 176); the cell edges are 9.4993, 9.4993 and 5.8257 Å and the angles 90.00°, 90.00° and 120.00°. The asymmetric unit holds Pm at (0.3333, 0.6667, 0.2500), Ho at (0.0424, 0.2372, 0.2500) and Th at (0.1012, 0.4843, 0.7500).

=====

Please write out number 1 again, unchanged.
Density functional theory data (PBE) for a relaxed structure of SbSeCl.

The value obtained for the theoretical density is 4.84 g/cm³. The energy relative to the elements, uncorrected is -0.303 eV/atom. The volume is 81.1 Å³/f.u.

The structure belongs to space group F-43m (No. 216); the cell edges are 6.8703, 6.8703 and 6.8703 Å and the angles 90.00°, 90.00° and 90.00°. The asymmetric unit holds Sb at (0.0000, 0.0000, 0.0000), Se at (0.2500, 0.2500, 0.2500) and Cl at (0.2500, 0.2500, 0.7500).